This record from Alexandria via LeMat-Bulk describes CdPWF2 after structural relaxation. The functional is PBE+U.

a = 4.055 Å, b = 7.296 Å, c = 4.055 Å
α = 90.00°, β = 90.00°, γ = 90.00°
Fractional coordinates of all 5 atoms:
P  0.500  0.500  0.500
F  0.000  0.000  0.500
W  0.000  0.500  0.000
Cd  0.000  0.000  0.000
F  0.500  0.000  0.000

V: 120.0 Å³/f.u.
Raw total energy: -19.3 eV/cell
M_tot: 3.00 μB per formula unit